TaMn4Ru at its PBEsol-relaxed geometry, computed with meta-GGA SCAN.

Lattice parameters (Å, degrees): 4.6658 4.6658 4.6658 60.00 60.00 60.00
Element x y z (fractional)
Ta  0.0000  0.0000  0.0000
Mn  0.3743  0.3743  0.3743
Mn  0.3743  0.3743  0.8770
Mn  0.3743  0.8770  0.3743
Mn  0.8770  0.3743  0.3743
Ru  0.7500  0.7500  0.7500

crystal system	cubic
volume	71.8	Å³/f.u.
total DFT energy (no corrections)	-29.1107	eV/atom
energy of formation from the pure elements	-4	kJ per mole of atoms
space group	F-43m

***

TlRuW at its PBEsol-relaxed geometry, computed with meta-GGA SCAN.

Lattice parameters (Å, degrees): 4.3220 4.3220 4.3220 60.00 60.00 60.00
Element x y z (fractional)
Tl  0.0000  0.0000  0.0000
Ru  0.7500  0.7500  0.7500
W  0.5000  0.5000  0.5000

crystal system	cubic
volume	57.1	Å³/f.u.
offset from the most stable computed form	0.87	eV per formula unit
total DFT energy (no corrections)	-58.1734	eV/atom
energy of formation from the pure elements	76	kJ per mole of atoms
space group	F-43m

***

CaRe at its PBEsol-relaxed geometry, computed with meta-GGA SCAN.

Lattice parameters (Å, degrees): 5.0921 5.0921 5.7309 90.00 90.00 120.00
Element x y z (fractional)
Ca  0.3333  0.6667  0.2500
Ca  0.6667  0.3333  0.7500
Re  0.3333  0.6667  0.7500
Re  0.6667  0.3333  0.2500

crystal system	hexagonal
volume	64.3	Å³/f.u.
offset from the most stable computed form	4.44	eV per formula unit
total DFT energy (no corrections)	-37.7043	eV/atom
energy of formation from the pure elements	258	kJ per mole of atoms
space group	P6_3/mmc

***

K9Fe2Se7 at its PBEsol-relaxed geometry, computed with meta-GGA SCAN.

Lattice parameters (Å, degrees): 12.9760 12.9760 12.9760 90.00 90.00 90.00
Element x y z (fractional)
K  0.0016  0.3038  0.8317
K  0.0428  0.7954  0.1807
K  0.0562  0.0562  0.0562
K  0.0815  0.5815  0.9185
K  0.1683  0.5016  0.1962
K  0.1807  0.0428  0.7954
K  0.1962  0.1683  0.5016
K  0.2046  0.6807  0.4572
K  0.2409  0.2409  0.2409
K  0.2591  0.7591  0.7409
K  0.2954  0.3193  0.9572
K  0.3038  0.8317  0.0016
K  0.3193  0.9572  0.2954
K  0.3317  0.4984  0.6962
K  0.4185  0.4185  0.4185
K  0.4438  0.9438  0.5562
K  0.4572  0.2046  0.6807
K  0.4984  0.6962  0.3317
K  0.5016  0.1962  0.1683
K  0.5428  0.7046  0.8193
K  0.5562  0.4438  0.9438
K  0.5815  0.9185  0.0815
K  0.6683  0.9984  0.8038
K  0.6807  0.4572  0.2046
K  0.6962  0.3317  0.4984
K  0.7046  0.8193  0.5428
K  0.7409  0.2591  0.7591
K  0.7591  0.7409  0.2591
K  0.7954  0.1807  0.0428
K  0.8038  0.6683  0.9984
K  0.8193  0.5428  0.7046
K  0.8317  0.0016  0.3038
K  0.9185  0.0815  0.5815
K  0.9438  0.5562  0.4438
K  0.9572  0.2954  0.3193
K  0.9984  0.8038  0.6683
Fe  0.0709  0.9291  0.4291
Fe  0.1004  0.3996  0.6004
Fe  0.3996  0.6004  0.1004
Fe  0.4291  0.0709  0.9291
Fe  0.5709  0.5709  0.5709
Fe  0.6004  0.1004  0.3996
Fe  0.8996  0.8996  0.8996
Fe  0.9291  0.4291  0.0709
Se  0.0614  0.3085  0.0749
Se  0.0704  0.8320  0.9141
Se  0.0749  0.0614  0.3085
Se  0.0859  0.5704  0.6680
Se  0.1680  0.4141  0.4296
Se  0.1915  0.9251  0.5614
Se  0.2092  0.2908  0.7092
Se  0.2908  0.7092  0.2092
Se  0.3085  0.0749  0.0614
Se  0.3320  0.5859  0.9296
Se  0.4141  0.4296  0.1680
Se  0.4251  0.9386  0.8085
Se  0.4296  0.1680  0.4141
Se  0.4386  0.6915  0.5749
Se  0.5614  0.1915  0.9251
Se  0.5704  0.6680  0.0859
Se  0.5749  0.4386  0.6915
Se  0.5859  0.9296  0.3320
Se  0.6680  0.0859  0.5704
Se  0.6915  0.5749  0.4386
Se  0.7092  0.2092  0.2908
Se  0.7908  0.7908  0.7908
Se  0.8085  0.4251  0.9386
Se  0.8320  0.9141  0.0704
Se  0.9141  0.0704  0.8320
Se  0.9251  0.5614  0.1915
Se  0.9296  0.3320  0.5859
Se  0.9386  0.8085  0.4251

crystal system	cubic
volume	546.2	Å³/f.u.
total DFT energy (no corrections)	-15.1612	eV/atom
raw formation energy	-1.174	eV/atom
space group	P2_13

***

- Number 2 is which compound?
  TlRuW

***

- Which value of volume does entry 4 give?
  546.2 Å³/f.u.

***

- Which value of total DFT energy (no corrections) does entry 3 give?
  -37.7043 eV/atom

***

- Which of these has the highest total DFT energy (no corrections)?
  K9Fe2Se7